This record from Alexandria describes crystalline VPO4 at its relaxed geometry. The functional is PBE with a Hubbard U.

## Properties
Electronic total energy = -7.664 eV per atom
DOS at the Fermi energy = 0.0 states/eV/f.u.
Symmetry = Cmcm
Total magnetic moment = 4.00 μB per cell

Unit cell a=4.762 b=4.762 c=6.486 alpha=90.00 beta=90.00 gamma=112.64
Fractional coordinates of all 12 atoms:
V  0.000  0.000  0.000
V  0.000  0.000  0.500
P  0.349  0.651  0.750
P  0.651  0.349  0.250
O  0.220  0.292  0.750
O  0.244  0.756  0.552
O  0.244  0.756  0.948
O  0.292  0.220  0.250
O  0.708  0.780  0.750
O  0.756  0.244  0.052
O  0.756  0.244  0.448
O  0.780  0.708  0.250